Here is a relaxed SmErW4 crystal from the Alexandria database. Energies are from GGA-PBE.

Values from the calculation:
The space-group type is F-43m, No. 216. For the uncorrected energy, the calculation gives -0.7341 Ry/atom. For the formation energy, the calculation gives 0.19 eV/atom. For the density of states at the Fermi level, the calculation gives 10.6 states/eV/cell.

Cell lengths 5.5574, 5.5574, 5.5574 Å; angles 60.00, 60.00, 60.00 degrees
Closest atoms and distances in Å follow each position.
Atoms (fractional coordinates):
Sm  0.0000  0.0000  0.0000  12 W 3.26, 4 Er 3.40
Er  0.7500  0.7500  0.7500  12 W 3.26, 4 Sm 3.40
W  0.3749  0.3749  0.3749  6 W 2.78
W  0.3749  0.3749  0.8752  6 W 2.78
W  0.3749  0.8752  0.3749  6 W 2.78
W  0.8752  0.3749  0.3749  6 W 2.78

---

Here is a relaxed SmY14Er crystal from the Alexandria database. Energies are from GGA-PBE.

Values from the calculation:
The space-group type is P4/mmm, No. 123. For the uncorrected energy, the calculation gives -0.4568 Ry/atom. For the formation energy, the calculation gives 0.02 eV/atom. For the density of states at the Fermi level, the calculation gives 21.0 states/eV/cell.

Cell lengths 7.1454, 7.1454, 10.0719 Å; angles 90.00, 90.00, 90.00 degrees
Closest atoms and distances in Å follow each position.
Atoms (fractional coordinates):
Sm  0.0000  0.0000  0.0000  12 Y 3.57
Y  0.0000  0.0000  0.5000  12 Y 3.57
Y  0.0000  0.5000  0.0000  8 Y 3.56, 2 Er 3.57, 2 Sm 3.57
Y  0.0000  0.5000  0.5000  12 Y 3.57
Y  0.2506  0.2506  0.2495  1 Er 3.56, 10 Y 3.56-3.58, 1 Sm 3.57
Y  0.2506  0.2506  0.7505  1 Er 3.56, 10 Y 3.56-3.58, 1 Sm 3.57
Y  0.2506  0.7494  0.2495  1 Er 3.56, 10 Y 3.56-3.58, 1 Sm 3.57
Y  0.2506  0.7494  0.7505  1 Er 3.56, 10 Y 3.56-3.58, 1 Sm 3.57
Y  0.5000  0.0000  0.0000  8 Y 3.56, 2 Er 3.57, 2 Sm 3.57
Y  0.5000  0.0000  0.5000  12 Y 3.57
Y  0.5000  0.5000  0.5000  12 Y 3.57
Y  0.7494  0.2506  0.2495  1 Er 3.56, 10 Y 3.56-3.58, 1 Sm 3.57
Y  0.7494  0.2506  0.7505  1 Er 3.56, 10 Y 3.56-3.58, 1 Sm 3.57
Y  0.7494  0.7494  0.2495  1 Er 3.56, 10 Y 3.56-3.58, 1 Sm 3.57
Y  0.7494  0.7494  0.7505  1 Er 3.56, 10 Y 3.56-3.58, 1 Sm 3.57
Er  0.5000  0.5000  0.0000  12 Y 3.56-3.57

---

Here is a relaxed Sm3Y2Er2 crystal from the Alexandria database. Energies are from GGA-PBE.

Values from the calculation:
The space-group type is P-1, No. 2. For the uncorrected energy, the calculation gives -0.3789 Ry/atom. The calculation puts the excess energy over the best structure of this formula in the dataset at 0.000 eV/atom. For the formation energy, the calculation gives 0.02 eV/atom. For the density of states at the Fermi level, the calculation gives 9.0 states/eV/cell.

Cell lengths 3.5762, 6.1906, 10.7361 Å; angles 84.31, 89.97, 73.30 degrees
Closest atoms and distances in Å follow each position.
Atoms (fractional coordinates):
Sm  0.0000  0.0000  0.0000  4 Er 3.57, 6 Y 3.57-3.59, 2 Sm 3.58
Sm  0.1415  0.7155  0.5697  5 Sm 3.55-3.58, 5 Er 3.57-3.59, 2 Y 3.59
Sm  0.8585  0.2845  0.4303  5 Sm 3.55-3.58, 5 Er 3.57-3.59, 2 Y 3.59
Y  0.2854  0.4295  0.1432  5 Sm 3.57-3.59, 3 Er 3.57, 4 Y 3.58
Y  0.7146  0.5705  0.8568  5 Sm 3.57-3.59, 3 Er 3.57, 4 Y 3.58
Er  0.4286  0.1425  0.7150  7 Sm 3.57-3.59, 3 Y 3.57, 2 Er 3.58
Er  0.5714  0.8575  0.2850  7 Sm 3.57-3.59, 3 Y 3.57, 2 Er 3.58

---

Here is a relaxed SmY8Er4 crystal from the Alexandria database. Energies are from GGA-PBE.

Values from the calculation:
The space-group type is R-3m, No. 166. For the uncorrected energy, the calculation gives -0.4067 Ry/atom. For the formation energy, the calculation gives 0.21 eV/atom. For the density of states at the Fermi level, the calculation gives 16.3 states/eV/cell.

Cell lengths 10.0096, 10.0096, 10.0096 Å; angles 42.69, 42.69, 42.69 degrees
Closest atoms and distances in Å follow each position.
Atoms (fractional coordinates):
Sm  0.0000  0.0000  0.0000  6 Y 2.93
Y  0.2498  0.2498  0.6981  1 Sm 2.93, 2 Y 3.27
Y  0.2498  0.6981  0.2498  1 Sm 2.93, 2 Y 3.27
Y  0.2828  0.2828  0.2828  9 Y 3.67-3.69, 3 Er 3.80
Y  0.3019  0.7502  0.7502  1 Sm 2.93, 2 Y 3.27
Y  0.6981  0.2498  0.2498  1 Sm 2.93, 2 Y 3.27
Y  0.7172  0.7172  0.7172  9 Y 3.67-3.69, 3 Er 3.80
Y  0.7502  0.3019  0.7502  1 Sm 2.93, 2 Y 3.27
Y  0.7502  0.7502  0.3019  1 Sm 2.93, 2 Y 3.27
Er  0.0000  0.0000  0.5000  6 Y 3.53-3.80, 6 Er 3.64
Er  0.0000  0.5000  0.0000  6 Y 3.53-3.80, 6 Er 3.64
Er  0.5000  0.0000  0.0000  6 Y 3.53-3.80, 6 Er 3.64
Er  0.5000  0.5000  0.5000  6 Y 3.33, 6 Er 3.64

---

Here is a relaxed SmYEr2 crystal from the Alexandria database. Energies are from GGA-PBE.

Values from the calculation:
The space-group type is R3m, No. 160. For the uncorrected energy, the calculation gives -0.3719 Ry/atom. The calculation puts the excess energy over the best structure of this formula in the dataset at 0.006 eV/atom. For the formation energy, the calculation gives 0.02 eV/atom. For the density of states at the Fermi level, the calculation gives 17.5 states/eV/cell.

Cell lengths 3.5795, 3.5795, 34.4288 Å; angles 90.00, 90.00, 120.00 degrees
Closest atoms and distances in Å follow each position.
Atoms (fractional coordinates):
Sm  0.0000  0.0000  0.0000  6 Er 3.53-3.57, 6 Sm 3.58
Sm  0.3333  0.6667  0.6667  6 Er 3.53-3.57, 6 Sm 3.58
Sm  0.6667  0.3333  0.3333  6 Er 3.53-3.57, 6 Sm 3.58
Y  0.0000  0.0000  0.1658  6 Er 3.52-3.53, 6 Y 3.58
Y  0.3333  0.6667  0.8325  6 Er 3.52-3.53, 6 Y 3.58
Y  0.6667  0.3333  0.4992  6 Er 3.52-3.53, 6 Y 3.58
Er  0.0000  0.0000  0.5823  3 Y 3.53, 3 Sm 3.57, 6 Er 3.58
Er  0.0000  0.0000  0.7499  3 Y 3.52, 3 Sm 3.53, 6 Er 3.58
Er  0.3333  0.6667  0.2489  3 Y 3.53, 3 Sm 3.57, 6 Er 3.58
Er  0.3333  0.6667  0.4166  3 Y 3.52, 3 Sm 3.53, 6 Er 3.58
Er  0.6667  0.3333  0.0832  3 Y 3.52, 3 Sm 3.53, 6 Er 3.58
Er  0.6667  0.3333  0.9156  3 Y 3.53, 3 Sm 3.57, 6 Er 3.58

---

Here is a relaxed Sm4Y5Er3 crystal from the Alexandria database. Energies are from GGA-PBE.

Values from the calculation:
The space-group type is P-1, No. 2. For the uncorrected energy, the calculation gives -0.3960 Ry/atom. The calculation puts the excess energy over the best structure of this formula in the dataset at 0.000 eV/atom. For the formation energy, the calculation gives 0.02 eV/atom. For the density of states at the Fermi level, the calculation gives 16.1 states/eV/cell.

Cell lengths 6.1902, 7.1482, 8.7450 Å; angles 89.94, 89.99, 89.93 degrees
Closest atoms and distances in Å follow each position.
Atoms (fractional coordinates):
Sm  0.1658  0.2505  0.1683  4 Er 3.56-3.60, 5 Y 3.56-3.59, 3 Sm 3.57-3.58
Sm  0.3329  0.9999  0.8343  4 Sm 3.56-3.58, 5 Y 3.57-3.59, 3 Er 3.58
Sm  0.6671  0.0001  0.1657  4 Sm 3.56-3.58, 5 Y 3.57-3.59, 3 Er 3.58
Sm  0.8342  0.7495  0.8317  4 Er 3.56-3.60, 5 Y 3.56-3.59, 3 Sm 3.57-3.58
Y  0.0000  0.0000  0.5000  4 Sm 3.56-3.58, 4 Er 3.56-3.57, 4 Y 3.57-3.59
Y  0.3318  0.4998  0.8327  5 Sm 3.56-3.59, 3 Y 3.56-3.59, 4 Er 3.56-3.58
Y  0.4987  0.7485  0.5001  3 Er 3.55-3.57, 6 Y 3.55-3.60, 3 Sm 3.57-3.59
Y  0.5013  0.2515  0.4999  3 Er 3.55-3.57, 6 Y 3.55-3.60, 3 Sm 3.57-3.59
Y  0.6682  0.5002  0.1673  5 Sm 3.56-3.59, 3 Y 3.56-3.59, 4 Er 3.56-3.58
Er  0.0000  0.5000  0.5000  2 Er 3.55, 2 Sm 3.56, 8 Y 3.56-3.57
Er  0.1673  0.7489  0.1686  5 Y 3.55-3.58, 1 Er 3.55, 6 Sm 3.56-3.60
Er  0.8327  0.2511  0.8314  5 Y 3.55-3.58, 1 Er 3.55, 6 Sm 3.56-3.60

---

Here is a relaxed SmYEr5 crystal from the Alexandria database. Energies are from GGA-PBE.

Values from the calculation:
The space-group type is C2/c, No. 15. For the uncorrected energy, the calculation gives -0.3428 Ry/atom. The calculation puts the excess energy over the best structure of this formula in the dataset at 0.000 eV/atom. For the formation energy, the calculation gives 0.19 eV/atom. For the density of states at the Fermi level, the calculation gives 16.9 states/eV/cell.

Cell lengths 6.7051, 6.7051, 12.0723 Å; angles 106.75, 106.75, 60.26 degrees
Closest atoms and distances in Å follow each position.
Atoms (fractional coordinates):
Sm  0.0257  0.9743  0.7500  3 Er 2.96-3.29
Sm  0.9743  0.0257  0.2500  3 Er 2.96-3.29
Y  0.0000  0.5000  0.0000  4 Er 3.23-3.59
Y  0.5000  0.0000  0.5000  4 Er 3.23-3.59
Er  0.1398  0.4197  0.7502  2 Er 2.98-3.27, 1 Y 3.23
Er  0.1934  0.6503  0.5005  4 Er 3.27-3.57, 1 Sm 3.29
Er  0.3497  0.8066  0.9995  4 Er 3.27-3.57, 1 Sm 3.29
Er  0.4134  0.5866  0.2500  1 Sm 2.96, 2 Er 2.98
Er  0.4197  0.1398  0.2502  2 Er 2.98-3.27, 1 Y 3.23
Er  0.5803  0.8602  0.7498  2 Er 2.98-3.27, 1 Y 3.23
Er  0.5866  0.4134  0.7500  1 Sm 2.96, 2 Er 2.98
Er  0.6503  0.1934  0.0005  4 Er 3.27-3.57, 1 Sm 3.29
Er  0.8066  0.3497  0.4995  4 Er 3.27-3.57, 1 Sm 3.29
Er  0.8602  0.5803  0.2498  2 Er 2.98-3.27, 1 Y 3.23

---

Here is a relaxed Sm8Y2Er crystal from the Alexandria database. Energies are from GGA-PBE.

Values from the calculation:
The space-group type is C2/m, No. 12. For the uncorrected energy, the calculation gives -0.3570 Ry/atom. The calculation puts the excess energy over the best structure of this formula in the dataset at 0.000 eV/atom. For the formation energy, the calculation gives 0.16 eV/atom. For the density of states at the Fermi level, the calculation gives 17.2 states/eV/cell.

Cell lengths 10.2120, 10.2120, 5.6819 Å; angles 93.26, 93.26, 40.23 degrees
Closest atoms and distances in Å follow each position.
Atoms (fractional coordinates):
Sm  0.0449  0.0449  0.2346  1 Sm 3.09, 1 Y 3.28
Sm  0.1043  0.6350  0.2684  4 Sm 3.30-3.63, 2 Y 3.48-3.64, 1 Er 3.54
Sm  0.3140  0.3140  0.7713  4 Y 3.38-3.56, 4 Sm 3.50-3.63, 1 Er 3.72
Sm  0.3650  0.8957  0.7316  4 Sm 3.30-3.63, 2 Y 3.48-3.64, 1 Er 3.54
Sm  0.6350  0.1043  0.2684  4 Sm 3.30-3.63, 2 Y 3.48-3.64, 1 Er 3.54
Sm  0.6860  0.6860  0.2287  4 Y 3.38-3.56, 4 Sm 3.50-3.63, 1 Er 3.72
Sm  0.8957  0.3650  0.7316  4 Sm 3.30-3.63, 2 Y 3.48-3.64, 1 Er 3.54
Sm  0.9551  0.9551  0.7654  1 Sm 3.09, 1 Y 3.28
Y  0.2160  0.2160  0.2563  9 Sm 3.28-3.64
Y  0.7840  0.7840  0.7437  9 Sm 3.28-3.64
Er  0.5000  0.5000  0.0000  10 Sm 3.54-3.84

---

Here are the calculated V numbers, same order: 20.228, 32.140, 32.348, 32.122, 31.836, 32.246, 31.737, 34.728 (Å³ per atom).
Here are the calculated magnetic moment numbers, same order: 0.000, 0.000, 0.000, 0.000, 0.001, 0.000, 0.000, 0.000 (μB/atom).